A plane-wave DFT calculation with PBE was carried out for a geometry-optimized LiSnPbF2 structure.

Its formation energy without anion corrections is -0.9510 eV/atom. For the density of states at the Fermi level, the calculation gives 3.78 states/eV/cell. The calculation puts the calculated total energy at -3.624 eV per atom.

The space group is P4/mmm (No. 123) and the conventional cell measures 4.622, 4.622 and 6.119 Å, with angles of 90.00, 90.00 and 90.00 degrees. The asymmetric unit holds Li at (0.000, 0.000, 0.000), Sn at (0.500, 0.500, 0.000), Pb at (0.000, 0.000, 0.500) and F at (0.000, 0.500, 0.500).

A plane-wave DFT calculation with PBE was carried out for a geometry-optimized Sr2LiPbF structure.

Its formation energy without anion corrections is -1.3939 eV/atom. For the density of states at the Fermi level, the calculation gives 0.91 states/eV/cell. The calculation puts the calculated total energy at -3.565 eV per atom.

The space group is P4/mmm (No. 123) and the conventional cell measures 5.298, 5.298 and 4.638 Å, with angles of 90.00, 90.00 and 90.00 degrees. The asymmetric unit holds Sr at (0.000, 0.500, 0.000), Li at (0.000, 0.000, 0.500), Pb at (0.500, 0.500, 0.500) and F at (0.000, 0.000, 0.000).

A plane-wave DFT calculation with PBE was carried out for a geometry-optimized SrLiPbF2 structure.

Its formation energy without anion corrections is -1.0252 eV/atom. For the density of states at the Fermi level, the calculation gives 3.73 states/eV/cell. The calculation puts the calculated total energy at -3.235 eV per atom.

The space group is P4/mmm (No. 123) and the conventional cell measures 4.849, 4.849 and 7.001 Å, with angles of 90.00, 90.00 and 90.00 degrees. The asymmetric unit holds Sr at (0.000, 0.000, 0.000), Li at (0.500, 0.500, 0.000), Pb at (0.000, 0.000, 0.500) and F at (0.000, 0.500, 0.500).

A plane-wave DFT calculation with PBE was carried out for a geometry-optimized Li2TiPbF8 structure.

Its formation energy without anion corrections is -2.9743 eV/atom. For the density of states at the Fermi level, the calculation gives 0.00 states/eV/cell. The calculation puts the calculated total energy at -5.508 eV per atom.

The space group is P-1 (No. 2) and the conventional cell measures 4.879, 4.899 and 7.152 Å, with angles of 83.43, 83.57 and 82.00 degrees. The asymmetric unit holds Li at (0.042, 0.042, 0.286), Ti at (0.500, 0.500, 0.000), Pb at (0.500, 0.500, 0.500), F at (0.172, 0.176, 0.504), F at (0.245, 0.249, 0.049), F at (0.292, 0.703, 0.804) and F at (0.299, 0.710, 0.194).

A plane-wave DFT calculation with PBE was carried out for a geometry-optimized Li2Tl2PbF7 structure.

Its formation energy without anion corrections is -2.2360 eV/atom. For the density of states at the Fermi level, the calculation gives 7.92 states/eV/cell. The calculation puts the calculated total energy at -4.350 eV per atom.

The space group is C2/m (No. 12) and the conventional cell measures 5.541, 5.542 and 11.123 Å, with angles of 90.00, 104.35 and 90.00 degrees. The asymmetric unit holds Li at (0.091, 0.000, 0.185), Tl at (0.178, 0.500, 0.357), Pb at (0.000, 0.500, 0.000), F at (0.000, 0.000, 0.000), F at (0.160, 0.250, 0.818) and F at (0.195, 0.000, 0.393).

A plane-wave DFT calculation with PBE was carried out for a geometry-optimized LiTl2PbF6 structure.

Its formation energy without anion corrections is -2.1039 eV/atom. For the density of states at the Fermi level, the calculation gives 6.30 states/eV/cell. The calculation puts the calculated total energy at -4.262 eV per atom.

The space group is C2/m (No. 12) and the conventional cell measures 8.774, 8.773 and 6.206 Å, with angles of 90.00, 134.93 and 90.00 degrees. The asymmetric unit holds Li at (0.000, 0.000, 0.000), Tl at (0.000, 0.249, 0.500), Pb at (0.000, 0.500, 0.000), F at (0.000, 0.241, 0.000), F at (0.240, 0.000, 0.998) and F at (0.242, 0.000, 0.483).

A plane-wave DFT calculation with PBE was carried out for a geometry-optimized LiTmPbF6 structure.

Its formation energy without anion corrections is -3.2808 eV/atom. For the density of states at the Fermi level, the calculation gives 0.00 states/eV/cell. The calculation puts the calculated total energy at -5.650 eV per atom.

The space group is P-31c (No. 163) and the conventional cell measures 5.5553, 5.5553 and 10.6604 Å, with angles of 90.00, 90.00 and 120.00 degrees. The asymmetric unit holds Li at (0.3333, 0.6667, 0.2500), Tm at (0.3333, 0.6667, 0.7500), Pb at (0.0000, 0.0000, 0.0000) and F at (0.0068, 0.3629, 0.1417).

A plane-wave DFT calculation with PBE was carried out for a geometry-optimized Li3UPb2F12 structure.

Its formation energy without anion corrections is -2.8555 eV/atom. The calculation puts the calculated total energy at -5.461 eV per atom.

The space group is R-3m (No. 166, hexagonal axes) and the conventional cell measures 6.0728, 6.0728 and 29.6824 Å, with angles of 90.00, 90.00 and 120.00 degrees. The asymmetric unit holds Li at (0.0000, 0.5000, 0.0000), U at (0.0000, 0.0000, 0.5000), Pb at (0.0000, 0.0000, 0.0752), F at (0.0160, 0.5080, 0.1246) and F at (0.0214, 0.5107, 0.3659).

Among the records above, which one has the highest calculated total energy? SrLiPbF2

Copy entry 3 word for word.
A plane-wave DFT calculation with PBE was carried out for a geometry-optimized SrLiPbF2 structure.

Its formation energy without anion corrections is -1.0252 eV/atom. For the density of states at the Fermi level, the calculation gives 3.73 states/eV/cell. The calculation puts the calculated total energy at -3.235 eV per atom.

The space group is P4/mmm (No. 123) and the conventional cell measures 4.849, 4.849 and 7.001 Å, with angles of 90.00, 90.00 and 90.00 degrees. The asymmetric unit holds Sr at (0.000, 0.000, 0.000), Li at (0.500, 0.500, 0.000), Pb at (0.000, 0.000, 0.500) and F at (0.000, 0.500, 0.500).